Ba3In5: optimized geometry, PBE.

Cell: 11.4472 11.4472 5.5244 Å, 90.00 90.00 120.00°
With the nearest neighbours (Å) after each atom.
Fractional coordinates of all 16 atoms:
Ba: 0.6370 0.0000 0.2500  8 In 3.61-3.91
Ba: 0.3630 0.0000 0.7500  8 In 3.61-3.91
Ba: 0.0000 0.6370 0.2500  8 In 3.61-3.91
Ba: 0.3630 0.3630 0.2500  8 In 3.61-3.91
Ba: 0.6370 0.6370 0.7500  8 In 3.61-3.91
Ba: 0.0000 0.3630 0.7500  8 In 3.61-3.91
In: 0.3333 0.6667 0.0000  2 In 2.76
In: 0.6667 0.3333 0.5000  2 In 2.76
In: 0.6667 0.3333 0.0000  2 In 2.76
In: 0.3333 0.6667 0.5000  2 In 2.76
In: 0.1555 0.0000 0.2500  6 In 3.08-3.29
In: 0.8445 0.0000 0.7500  6 In 3.08-3.29
In: 0.0000 0.1555 0.2500  6 In 3.08-3.29
In: 0.8445 0.8445 0.2500  6 In 3.08-3.29
In: 0.1555 0.1555 0.7500  6 In 3.08-3.29
In: 0.0000 0.8445 0.7500  6 In 3.08-3.29

Properties
E_form in kcal/mol of atoms: -6.3
Energy above the lowest structure with this stoichiometry in kcal/mol of atoms: 0.40
SG: No. 193
ρ in g/cm3: 5.2

---

BiPb5S6: optimized geometry, PBE.

Cell: 7.3429 7.3170 7.3507 Å, 60.15 80.32 70.26°
With the nearest neighbours (Å) after each atom.
Fractional coordinates of all 12 atoms:
Bi: 0.0000 0.0000 0.0000  6 S 2.89-2.93
Pb: 0.5000 0.1666 0.6668  6 S 2.96-3.10
Pb: 0.0000 0.3333 0.3333  6 S 2.99-3.03
Pb: 0.5000 0.5000 0.0000  6 S 3.00-3.07
Pb: 0.0000 0.6667 0.6667  6 S 2.99-3.03
Pb: 0.5000 0.8334 0.3332  6 S 2.96-3.10
S: 0.7588 0.0797 0.3216  1 Bi 2.89, 5 Pb 2.99-3.10
S: 0.2412 0.5987 0.3216  1 Bi 2.89, 5 Pb 2.99-3.10
S: 0.2495 0.2384 0.0000  1 Bi 2.93, 5 Pb 2.96-3.07
S: 0.7505 0.7616 0.0000  1 Bi 2.93, 5 Pb 2.96-3.07
S: 0.7588 0.4013 0.6784  1 Bi 2.89, 5 Pb 2.99-3.10
S: 0.2412 0.9203 0.6784  1 Bi 2.89, 5 Pb 2.99-3.10

Properties
SG: No. 12
ρ in g/cm3: 7.4
Uncorrected formation energy in meV per atom: -454

---

CuIr: optimized geometry, PBE.

Cell: 4.5376 4.9291 2.7462 Å, 73.82 90.00 112.88°
With the nearest neighbours (Å) after each atom.
Fractional coordinates of all 4 atoms:
Cu: 0.9929 0.0033 0.9984  5 Cu 2.59-2.75, 7 Ir 2.63-2.80
Cu: 0.0904 0.4967 0.2516  5 Cu 2.59-2.75, 7 Ir 2.63-2.80
Ir: 0.4846 0.9988 0.5006  5 Ir 2.61-2.75, 7 Cu 2.63-2.80
Ir: 0.5988 0.5012 0.7494  5 Ir 2.61-2.75, 7 Cu 2.63-2.80

Properties
E_form in kcal/mol of atoms: 2.9
SG: No. 12
ρ in g/cm3: 15.7

---

Er2Al2Os2C: optimized geometry, PBE.

Cell: 4.1154 5.9503 5.9677 Å, 72.27 69.83 69.77°
With the nearest neighbours (Å) after each atom.
Fractional coordinates of all 7 atoms:
Er: 0.5608 0.1666 0.7118  2 C 2.66
Er: 0.4392 0.8334 0.2882  2 C 2.66
Al: 0.1516 0.3924 0.3044  3 Os 2.47-2.52, 1 Al 2.71
Al: 0.8484 0.6076 0.6956  3 Os 2.47-2.52, 1 Al 2.71
Os: 0.2000 0.6968 0.9033  1 C 1.88
Os: 0.8000 0.3032 0.0967  1 C 1.88
C: 0.0000 0.0000 0.0000  2 Os 1.88

Properties
E_form in kcal/mol of atoms: -10.6
SG: No. 12
ρ in g/cm3: 10.3

---

CeY5Cd4: optimized geometry, PBE.

Cell: 3.7025 3.7025 19.8377 Å, 90.00 90.00 90.00°
With the nearest neighbours (Å) after each atom.
Fractional coordinates of all 10 atoms:
Ce: 0.0000 0.0000 0.0000  8 Y 3.48, 4 Ce 3.70
Y: 0.5000 0.5000 0.1154  4 Cd 3.24, 4 Ce 3.48
Y: 0.5000 0.5000 0.3089  8 Cd 3.23-3.25
Y: 0.5000 0.5000 0.5000  8 Cd 3.24
Y: 0.5000 0.5000 0.6911  8 Cd 3.23-3.25
Y: 0.5000 0.5000 0.8846  4 Cd 3.24, 4 Ce 3.48
Cd: 0.0000 0.0000 0.2116  8 Y 3.24-3.25
Cd: 0.0000 0.0000 0.4041  8 Y 3.23-3.24
Cd: 0.0000 0.0000 0.5959  8 Y 3.23-3.24
Cd: 0.0000 0.0000 0.7884  8 Y 3.24-3.25

Properties
E_form in kcal/mol of atoms: -5.9
SG: No. 123
ρ in g/cm3: 6.3

---

TbPm5HoSc2: optimized geometry, PBE.

Cell: 5.6765 11.2587 9.4581 Å, 90.00 90.00 104.60°
With the nearest neighbours (Å) after each atom.
Fractional coordinates of all 18 atoms:
Tb: 0.8171 0.6341 0.5184  2 Sc 3.15-3.30, 3 Pm 3.42-3.44, 2 Ho 3.50
Tb: 0.1829 0.3659 0.0184  2 Sc 3.15-3.30, 3 Pm 3.42-3.44, 2 Ho 3.50
Pm: 0.3921 0.7842 0.0470  4 Sc 3.26-3.51, 2 Pm 3.26-3.61, 1 Ho 3.54
Pm: 0.7329 0.4657 0.8266  1 Ho 3.05, 1 Sc 3.32, 2 Pm 3.39
Pm: 0.4672 0.9344 0.7483  3 Pm 3.26-3.61, 2 Ho 3.30-3.42, 2 Sc 3.44
Pm: 0.3035 0.6070 0.7171  5 Pm 3.39-3.78, 2 Tb 3.42, 3 Sc 3.52-3.75, 1 Ho 3.52
Pm: 0.9881 0.9763 0.5093  1 Sc 3.24, 2 Ho 3.51
Pm: 0.6079 0.2158 0.5470  4 Sc 3.26-3.51, 2 Pm 3.26-3.61, 1 Ho 3.54
Pm: 0.2671 0.5343 0.3266  1 Ho 3.05, 1 Sc 3.32, 2 Pm 3.39
Pm: 0.5328 0.0656 0.2483  3 Pm 3.26-3.61, 2 Ho 3.30-3.42, 2 Sc 3.44
Pm: 0.6965 0.3930 0.2171  5 Pm 3.39-3.78, 2 Tb 3.42, 3 Sc 3.52-3.75, 1 Ho 3.52
Pm: 0.0119 0.0237 0.0093  1 Sc 3.24, 2 Ho 3.51
Ho: 0.5988 0.1975 0.9204  3 Pm 3.05-3.42
Ho: 0.4012 0.8025 0.4204  3 Pm 3.05-3.42
Sc: 0.8852 0.7705 0.8296  8 Pm 3.24-3.52, 1 Tb 3.30, 1 Sc 3.59
Sc: 0.1317 0.2633 0.7072  1 Tb 3.15, 2 Pm 3.26
Sc: 0.1148 0.2295 0.3296  8 Pm 3.24-3.52, 1 Tb 3.30, 1 Sc 3.59
Sc: 0.8683 0.7367 0.2072  1 Tb 3.15, 2 Pm 3.26

Properties
E_form in kcal/mol of atoms: 3.8
SG: No. 36
ρ in g/cm3: 6.5

---

RbAlCr2S: optimized geometry, PBE.

Cell: 4.9615 6.1286 4.9615 Å, 90.00 90.00 90.00°
With the nearest neighbours (Å) after each atom.
Fractional coordinates of all 5 atoms:
Cr: 0.0000 0.0000 0.5000  2 Al 2.48
Cr: 0.5000 0.0000 0.0000  2 Al 2.48
S: 0.5000 0.5000 0.5000  4 Rb 3.51
Al: 0.0000 0.0000 0.0000  4 Cr 2.48
Rb: 0.0000 0.5000 0.0000  2 Al 3.06

Properties
SG: No. 123
ρ in g/cm3: 2.7
Uncorrected formation energy in meV per atom: 1044

---

ZrZn2In: optimized geometry, PBE.

Cell: 3.2162 3.2162 7.2920 Å, 90.00 90.00 89.99°
With the nearest neighbours (Å) after each atom.
Fractional coordinates of all 4 atoms:
In: 0.5000 0.5000 0.7746  5 Zn 2.97-3.24, 4 Zr 3.18, 4 In 3.22
Zn: 0.0000 0.0000 0.0365  4 Zn 2.63
Zn: 0.5000 0.5000 0.2186  4 Zn 2.63, 4 Zr 2.92
Zr: 0.0000 0.0000 0.4703  5 Zn 2.92-3.16, 4 In 3.18, 4 Zr 3.22

Properties
E_form in kcal/mol of atoms: -2.8
SG: No. 99
ρ in g/cm3: 7.4